Compound: Er3Zn4In2
Source: Alexandria via LeMat-Bulk
Functional: PBE
Structure: relaxed

a = 5.782 Å, b = 5.782 Å, c = 8.746 Å
α = 112.82°, β = 112.82°, γ = 46.98°
Element x y z (fractional)
Er 0.000 0.000 0.000
Er 0.336 0.336 0.326
Er 0.664 0.664 0.674
Zn 0.071 0.071 0.414
Zn 0.285 0.285 0.963
Zn 0.715 0.715 0.037
Zn 0.929 0.929 0.586
In 0.385 0.385 0.722
In 0.615 0.615 0.278

Output
Energy (eV for the cell shown): -27.88
Symmetry: No. 12
Energy of formation from the pure elements (eV/f.u.): -3.620
ρ (g cm⁻³): 8.512
N(E_F) (states/eV/atom): 0.548
Spin magnetization (μB per formula unit): 0.0

---

Compound: Er4ZnIn2
Source: Alexandria via LeMat-Bulk
Functional: PBE
Structure: relaxed

a = 8.893 Å, b = 8.893 Å, c = 8.893 Å
α = 33.67°, β = 33.67°, γ = 33.67°
Element x y z (fractional)
Er 0.124 0.124 0.124
Er 0.375 0.375 0.375
Er 0.625 0.625 0.625
Er 0.876 0.876 0.876
Zn 0.500 0.500 0.500
In 0.250 0.250 0.250
In 0.750 0.750 0.750

Output
Energy (eV for the cell shown): -26.89
Symmetry: No. 166
Energy of formation from the pure elements (eV/f.u.): -1.891
ρ (g cm⁻³): 8.314
N(E_F) (states/eV/atom): 0.802
Spin magnetization (μB per formula unit): 0.0

---

Compound: Er2ZnIn5
Source: Alexandria via LeMat-Bulk
Functional: PBE
Structure: relaxed

a = 6.419 Å, b = 12.836 Å, c = 4.563 Å
α = 90.00°, β = 90.00°, γ = 90.00°
Element x y z (fractional)
Er 0.249 0.125 0.000
Er 0.251 0.625 0.000
Er 0.749 0.375 0.000
Er 0.751 0.875 0.000
Zn 0.000 0.500 0.500
Zn 0.500 0.000 0.500
In 0.000 0.000 0.500
In 0.000 0.255 0.500
In 0.000 0.745 0.500
In 0.242 0.380 0.000
In 0.258 0.880 0.000
In 0.500 0.245 0.500
In 0.500 0.500 0.500
In 0.500 0.755 0.500
In 0.742 0.120 0.000
In 0.758 0.620 0.000

Output
Energy (eV for the cell shown): -53.92
Symmetry: No. 55
Energy of formation from the pure elements (eV/f.u.): -2.867
ρ (g cm⁻³): 8.604
N(E_F) (states/eV/atom): 0.516
Spin magnetization (μB per formula unit): 0.0

---

Compound: Er8ZnIn2
Source: Alexandria via LeMat-Bulk
Functional: PBE
Structure: relaxed

a = 9.474 Å, b = 9.474 Å, c = 6.735 Å
α = 103.17°, β = 103.17°, γ = 31.51°
Element x y z (fractional)
Er 0.017 0.017 0.270
Er 0.203 0.203 0.791
Er 0.348 0.348 0.534
Er 0.407 0.407 0.044
Er 0.593 0.593 0.956
Er 0.652 0.652 0.466
Er 0.797 0.797 0.209
Er 0.983 0.983 0.730
Zn 0.500 0.500 0.500
In 0.187 0.187 0.238
In 0.813 0.813 0.762

Output
Energy (eV for the cell shown): -45.40
Symmetry: No. 12
Energy of formation from the pure elements (eV/f.u.): -2.149
ρ (g cm⁻³): 8.835
N(E_F) (states/eV/atom): 0.971
Spin magnetization (μB per formula unit): 0.0

---

Compound: Er2Zn2In3
Source: Alexandria via LeMat-Bulk
Functional: PBE
Structure: relaxed

a = 10.313 Å, b = 10.313 Å, c = 3.630 Å
α = 90.00°, β = 90.00°, γ = 155.20°
Element x y z (fractional)
Er 0.164 0.836 0.000
Er 0.836 0.164 0.000
Zn 0.283 0.717 0.500
Zn 0.717 0.283 0.500
In 0.000 0.000 0.000
In 0.422 0.578 0.500
In 0.578 0.422 0.500

Output
Energy (eV for the cell shown): -22.07
Symmetry: No. 65
Energy of formation from the pure elements (eV/f.u.): -2.176
ρ (g cm⁻³): 8.305
N(E_F) (states/eV/atom): 0.555
Spin magnetization (μB per formula unit): 0.0

---

Compound: Er2Zn6In
Source: Alexandria via LeMat-Bulk
Functional: PBE
Structure: relaxed

a = 5.786 Å, b = 5.786 Å, c = 5.862 Å
α = 90.00°, β = 90.00°, γ = 120.00°
Element x y z (fractional)
Er 0.333 0.667 0.353
Er 0.667 0.333 0.647
Zn 0.183 0.366 0.846
Zn 0.183 0.817 0.846
Zn 0.366 0.183 0.154
Zn 0.634 0.817 0.846
Zn 0.817 0.183 0.154
Zn 0.817 0.634 0.154
In 0.000 0.000 0.500

Output
Energy (eV for the cell shown): -21.95
Symmetry: No. 164
Energy of formation from the pure elements (eV/f.u.): -2.438
ρ (g cm⁻³): 8.221
N(E_F) (states/eV/atom): 0.710
Spin magnetization (μB per formula unit): 0.0

---

Compound: Er3Zn2In2
Source: Alexandria via LeMat-Bulk
Functional: PBE
Structure: relaxed

a = 10.834 Å, b = 10.834 Å, c = 3.513 Å
α = 90.00°, β = 90.00°, γ = 156.76°
Element x y z (fractional)
Er 0.000 0.000 0.000
Er 0.165 0.835 0.000
Er 0.835 0.165 0.000
Zn 0.281 0.719 0.500
Zn 0.719 0.281 0.500
In 0.418 0.582 0.500
In 0.582 0.418 0.500

Output
Energy (eV for the cell shown): -24.64
Symmetry: No. 65
Energy of formation from the pure elements (eV/f.u.): -2.926
ρ (g cm⁻³): 8.798
N(E_F) (states/eV/atom): 0.796
Spin magnetization (μB per formula unit): 0.0

---

Compound: Er8Zn2In
Source: Alexandria via LeMat-Bulk
Functional: PBE
Structure: relaxed

a = 8.175 Å, b = 8.175 Å, c = 5.332 Å
α = 99.77°, β = 99.77°, γ = 115.58°
Element x y z (fractional)
Er 0.085 0.329 0.600
Er 0.232 0.768 0.000
Er 0.329 0.085 0.600
Er 0.394 0.394 0.196
Er 0.606 0.606 0.804
Er 0.671 0.915 0.400
Er 0.768 0.232 0.000
Er 0.915 0.671 0.400
Zn 0.307 0.693 0.500
Zn 0.693 0.307 0.500
In 0.000 0.000 0.000

Output
Energy (eV for the cell shown): -42.87
Symmetry: No. 12
Energy of formation from the pure elements (eV/f.u.): -1.079
Relative energy among the computed polymorphs (meV per atom): 108
ρ (g cm⁻³): 8.631
N(E_F) (states/eV/atom): 1.400
Spin magnetization (μB per formula unit): 0.0

---

spin magnetization of number 7 (Er3Zn2In2)?
0.0 μB per formula unit

---

Look up the N(E_F) of the sixth one.
0.710 states/eV/atom